Here is crystalline Sm3Zn4Sn2 at its relaxed geometry from the Alexandria database. Energies are from PBE-GGA.

```
data_Sm3Zn4Sn2
_chemical_formula_sum 'Sm6 Zn8 Sn4'
_symmetry_space_group_name_H-M 'C 1 2/m 1'
_symmetry_Int_Tables_number 12
_cell_length_a 11.149
_cell_length_b 4.569
_cell_length_c 8.746
_cell_angle_alpha 90.00
_cell_angle_beta 110.05
_cell_angle_gamma 90.00
loop_
_symmetry_equiv_pos_as_xyz
'x,y,z'
'-x,-y,-z'
'-x,y,-z'
'x,-y,z'
'x+1/2,y+1/2,z'
'-x+1/2,-y+1/2,-z'
'-x+1/2,y+1/2,-z'
'x+1/2,-y+1/2,z'
loop_
_atom_site_label
_atom_site_fract_x
_atom_site_fract_y
_atom_site_fract_z
Sm1 0.000 0.000 0.000
Sm2 0.168 0.500 0.668
Zn1 0.023 0.000 0.368
Zn2 0.246 0.500 0.064
Sn1 0.114 0.500 0.277
```

Results
E_form = -0.5340 eV/atom
Electronic total energy = -3.563 eV/atom
Calculated volume = 23.25 Å³ per atom

Here is crystalline TmZrAlZn at its relaxed geometry from the Alexandria database. Energies are from PBE-GGA.

```
data_TmZrAlZn
_chemical_formula_sum 'Tm4 Zr4 Al4 Zn4'
_symmetry_space_group_name_H-M 'F -4 3 m'
_symmetry_Int_Tables_number 216
_symmetry_space_group_name_Hall 'F -4 2 3'
_cell_length_a 6.884
_cell_length_b 6.884
_cell_length_c 6.884
_cell_angle_alpha 90.00
_cell_angle_beta 90.00
_cell_angle_gamma 90.00
loop_
_atom_site_label
_atom_site_fract_x
_atom_site_fract_y
_atom_site_fract_z
Tm1 0.000 0.000 0.000
Zr1 0.000 0.000 0.500
Al1 0.250 0.250 0.250
Zn1 0.250 0.250 0.750
```

Results
E_form = -0.3155 eV/atom
Electronic total energy = -4.825 eV/atom
Calculated volume = 20.39 Å³ per atom

Here is crystalline Sc2NbRu2 at its relaxed geometry from the Alexandria database. Energies are from PBE-GGA.

```
data_Sc2NbRu2
_chemical_formula_sum 'Sc4 Nb2 Ru4'
_symmetry_space_group_name_H-M 'P 4/m b m'
_symmetry_Int_Tables_number 127
_symmetry_space_group_name_Hall '-P 4 2ab'
_cell_length_a 7.339
_cell_length_b 7.339
_cell_length_c 3.317
_cell_angle_alpha 90.00
_cell_angle_beta 90.00
_cell_angle_gamma 90.00
loop_
_atom_site_label
_atom_site_fract_x
_atom_site_fract_y
_atom_site_fract_z
Sc1 0.151 0.349 0.000
Nb1 0.000 0.000 0.500
Ru1 0.154 0.654 0.500
```

Results
E_form = -0.1951 eV/atom
Electronic total energy = -8.452 eV/atom
Offset from the most stable computed form = 171.9 meV per atom
Calculated volume = 17.86 Å³ per atom

Here is crystalline Tc3HW at its relaxed geometry from the Alexandria database. Energies are from PBE-GGA.

```
data_Tc3HW
_chemical_formula_sum 'Tc3 H1 W1'
_symmetry_space_group_name_H-M 'P m -3 m'
_symmetry_Int_Tables_number 221
_symmetry_space_group_name_Hall '-P 4 2 3'
_cell_length_a 3.957
_cell_length_b 3.957
_cell_length_c 3.957
_cell_angle_alpha 90.00
_cell_angle_beta 90.00
_cell_angle_gamma 90.00
loop_
_atom_site_label
_atom_site_fract_x
_atom_site_fract_y
_atom_site_fract_z
Tc1 0.000 0.000 0.500
H1 0.000 0.000 0.000
W1 0.500 0.500 0.500
```

Results
Electronic total energy = -9.414 eV/atom
Offset from the most stable computed form = 0.0 meV per atom
Calculated volume = 12.39 Å³ per atom

Here is crystalline TaAg2Se at its relaxed geometry from the Alexandria database. Energies are from PBE-GGA.

```
data_TaAg2Se
_chemical_formula_sum 'Ta2 Ag4 Se2'
_symmetry_space_group_name_H-M 'C m m m'
_symmetry_Int_Tables_number 65
_symmetry_space_group_name_Hall '-C 2 2'
_cell_length_a 3.311
_cell_length_b 4.618
_cell_length_c 9.835
_cell_angle_alpha 90.00
_cell_angle_beta 90.00
_cell_angle_gamma 90.00
loop_
_atom_site_label
_atom_site_fract_x
_atom_site_fract_y
_atom_site_fract_z
Ta1 0.000 0.000 0.000
Ag1 0.000 0.500 0.241
Se1 0.000 0.000 0.500
```

Results
Raw formation energy = 1.04 eV/f.u.
Electronic total energy = -5.001 eV/atom
Calculated volume = 18.80 Å³ per atom

Here is crystalline Nd12Sm2Dy5 at its relaxed geometry from the Alexandria database. Energies are from PBE-GGA.

```
data_Nd12Sm2Dy5
_chemical_formula_sum 'Nd24 Sm4 Dy10'
_symmetry_space_group_name_H-M 'C 1 2/m 1'
_symmetry_Int_Tables_number 12
_cell_length_a 15.859
_cell_length_b 10.342
_cell_length_c 8.049
_cell_angle_alpha 90.00
_cell_angle_beta 91.74
_cell_angle_gamma 90.00
loop_
_symmetry_equiv_pos_as_xyz
'x,y,z'
'-x,-y,-z'
'-x,y,-z'
'x,-y,z'
'x+1/2,y+1/2,z'
'-x+1/2,-y+1/2,-z'
'-x+1/2,y+1/2,-z'
'x+1/2,-y+1/2,z'
loop_
_atom_site_label
_atom_site_fract_x
_atom_site_fract_y
_atom_site_fract_z
Nd1 0.052 0.000 0.211
Nd2 0.106 0.226 0.889
Nd3 0.151 0.500 0.619
Nd4 0.191 0.270 0.293
Sm1 0.000 0.258 0.500
Dy1 0.000 0.500 0.000
Dy2 0.150 0.000 0.586
Dy3 0.245 0.500 0.989
```

Results
E_form = 0.1260 eV/atom
Electronic total energy = -4.593 eV/atom
Offset from the most stable computed form = 29.5 meV per atom
Calculated volume = 34.73 Å³ per atom

Here is crystalline Pm6Sm3Tm at its relaxed geometry from the Alexandria database. Energies are from PBE-GGA.

```
data_Pm6Sm3Tm
_chemical_formula_sum 'Pm18 Sm9 Tm3'
_symmetry_space_group_name_H-M 'R -3'
_symmetry_Int_Tables_number 148
_symmetry_space_group_name_Hall '-R 3'
_cell_length_a 9.9750
_cell_length_b 9.9750
_cell_length_c 11.9463
_cell_angle_alpha 90.00
_cell_angle_beta 90.00
_cell_angle_gamma 120.00
loop_
_atom_site_label
_atom_site_fract_x
_atom_site_fract_y
_atom_site_fract_z
Pm1 0.0025 0.3290 0.2511
Sm1 0.0000 0.0000 0.0000
Sm2 0.0000 0.0000 0.2497
Tm1 0.0000 0.0000 0.5000
```

Results
E_form = 0.2365 eV/atom
Electronic total energy = -4.477 eV/atom
Offset from the most stable computed form = 97.2 meV per atom
Calculated volume = 34.31 Å³ per atom

Here is crystalline Y2Ho4Th at its relaxed geometry from the Alexandria database. Energies are from PBE-GGA.

```
data_Y2Ho4Th
_chemical_formula_sum 'Y8 Ho16 Th4'
_symmetry_space_group_name_H-M 'I m m a'
_symmetry_Int_Tables_number 74
_symmetry_space_group_name_Hall '-I 2b 2'
_cell_length_a 6.627
_cell_length_b 11.399
_cell_length_c 12.171
_cell_angle_alpha 90.00
_cell_angle_beta 90.00
_cell_angle_gamma 90.00
loop_
_atom_site_label
_atom_site_fract_x
_atom_site_fract_y
_atom_site_fract_z
Y1 0.000 0.000 0.000
Y2 0.000 0.250 0.223
Ho1 0.000 0.006 0.645
Ho2 0.226 0.250 0.489
Th1 0.250 0.250 0.750
```

Results
E_form = 0.3120 eV/atom
Electronic total energy = -5.211 eV/atom
Offset from the most stable computed form = 290.9 meV per atom
Calculated volume = 32.83 Å³ per atom

Here is crystalline SmTlB2O6 at its relaxed geometry from the Alexandria database. Energies are from PBE-GGA.

```
data_SmTlB2O6
_chemical_formula_sum 'Sm4 Tl4 B8 O24'
_symmetry_space_group_name_H-M 'C 1 2/c 1'
_symmetry_Int_Tables_number 15
_cell_length_a 8.381
_cell_length_b 9.775
_cell_length_c 6.525
_cell_angle_alpha 90.00
_cell_angle_beta 107.31
_cell_angle_gamma 90.00
loop_
_symmetry_equiv_pos_as_xyz
'x,y,z'
'-x,-y,-z'
'-x,y,-z+1/2'
'x,-y,z+1/2'
'x+1/2,y+1/2,z'
'-x+1/2,-y+1/2,-z'
'-x+1/2,y+1/2,-z+1/2'
'x+1/2,-y+1/2,z+1/2'
loop_
_atom_site_label
_atom_site_fract_x
_atom_site_fract_y
_atom_site_fract_z
Sm1 0.000 0.104 0.250
Tl1 0.000 0.417 0.750
B1 0.244 0.163 0.752
O1 0.105 0.393 0.123
O2 0.118 0.085 0.625
O3 0.236 0.305 0.753
```

Results
Raw formation energy = -22.77 eV/f.u.
Electronic total energy = -7.296 eV/atom
Calculated volume = 12.76 Å³ per atom

Here is crystalline La3Pm8Y2 at its relaxed geometry from the Alexandria database. Energies are from PBE-GGA.

```
data_La3Pm8Y2
_chemical_formula_sum 'La6 Pm16 Y4'
_symmetry_space_group_name_H-M 'C 1 2/m 1'
_symmetry_Int_Tables_number 12
_cell_length_a 20.667
_cell_length_b 7.762
_cell_length_c 5.803
_cell_angle_alpha 90.00
_cell_angle_beta 90.13
_cell_angle_gamma 90.00
loop_
_symmetry_equiv_pos_as_xyz
'x,y,z'
'-x,-y,-z'
'-x,y,-z'
'x,-y,z'
'x+1/2,y+1/2,z'
'-x+1/2,-y+1/2,-z'
'-x+1/2,y+1/2,-z'
'x+1/2,-y+1/2,z'
loop_
_atom_site_label
_atom_site_fract_x
_atom_site_fract_y
_atom_site_fract_z
La1 0.000 0.000 0.000
La2 0.000 0.294 0.500
Pm1 0.108 0.291 0.001
Pm2 0.136 0.000 0.498
Pm3 0.175 0.500 0.503
Y1 0.241 0.000 0.996
```

Results
E_form = 0.2198 eV/atom
Electronic total energy = -4.835 eV/atom
Offset from the most stable computed form = 88.3 meV per atom
Calculated volume = 35.81 Å³ per atom

Here is crystalline Na3CdN at its relaxed geometry from the Alexandria database. Energies are from PBE-GGA.

```
data_Na3CdN
_chemical_formula_sum 'Na3 Cd1 N1'
_symmetry_space_group_name_H-M 'P m -3 m'
_symmetry_Int_Tables_number 221
_symmetry_space_group_name_Hall '-P 4 2 3'
_cell_length_a 4.829
_cell_length_b 4.829
_cell_length_c 4.829
_cell_angle_alpha 90.00
_cell_angle_beta 90.00
_cell_angle_gamma 90.00
loop_
_atom_site_label
_atom_site_fract_x
_atom_site_fract_y
_atom_site_fract_z
Na1 0.000 0.000 0.500
Cd1 0.500 0.500 0.500
N1 0.000 0.000 0.000
```

Results
Raw formation energy = 1.12 eV/f.u.
Electronic total energy = -2.416 eV/atom
Offset from the most stable computed form = 0.0 meV per atom
Calculated volume = 22.53 Å³ per atom

Here is crystalline AlAg3I6 at its relaxed geometry from the Alexandria database. Energies are from PBE-GGA.

```
data_AlAg3I6
_chemical_formula_sum 'Al4 Ag12 I24'
_symmetry_space_group_name_H-M 'C m c 21'
_symmetry_Int_Tables_number 36
_cell_length_a 11.582
_cell_length_b 19.071
_cell_length_c 8.177
_cell_angle_alpha 90.00
_cell_angle_beta 90.00
_cell_angle_gamma 90.00
loop_
_symmetry_equiv_pos_as_xyz
'x,y,z'
'-x,-y,z+1/2'
'-x,y,z'
'x,-y,z+1/2'
'x+1/2,y+1/2,z'
'-x+1/2,-y+1/2,z+1/2'
'-x+1/2,y+1/2,z'
'x+1/2,-y+1/2,z+1/2'
loop_
_atom_site_label
_atom_site_fract_x
_atom_site_fract_y
_atom_site_fract_z
Al1 0.000 0.249 0.000
Ag1 0.000 0.036 0.808
Ag2 0.236 0.406 0.761
I1 0.000 0.183 0.731
I2 0.000 0.381 0.900
I3 0.181 0.233 0.178
I4 0.183 0.008 0.532
```

Results
Raw formation energy = -3.61 eV/f.u.
Electronic total energy = -2.521 eV/atom
Calculated volume = 45.15 Å³ per atom